No. 1
# Ni3BOs, relaxed, DFT PBE
# ΔE to the lowest computed polymorph ... 0.000 eV/atom
# Energy of formation ... 0.3787 eV per atom
data_Ni3BOs
_cell_length_a 3.808
_cell_length_b 3.808
_cell_length_c 3.808
_cell_angle_alpha 90.00
_cell_angle_beta 90.00
_cell_angle_gamma 90.00
_space_group_name_H-M_alt 'P m -3 m'
_space_group_IT_number 221
_space_group_name_Hall '-P 4 2 3'
loop_
_atom_site_label
_atom_site_fract_x
_atom_site_fract_y
_atom_site_fract_z
Ni1 0.000 0.000 0.500
B1 0.000 0.000 0.000
Os1 0.500 0.500 0.500

No. 2
# SrAlCd2, relaxed, DFT PBE
# Energy of formation ... -0.1900 eV per atom
data_SrAlCd2
_cell_length_a 4.489
_cell_length_b 4.489
_cell_length_c 10.776
_cell_angle_alpha 90.00
_cell_angle_beta 90.00
_cell_angle_gamma 90.00
_space_group_name_H-M_alt 'P 4/n m m'
_space_group_IT_number 129
loop_
_space_group_symop_operation_xyz
'x,y,z'
'-x,-y,-z'
'-y+1/2,x,z'
'y+1/2,-x,-z'
'-x+1/2,-y+1/2,z'
'x+1/2,y+1/2,-z'
'y,-x+1/2,z'
'-y,x+1/2,-z'
'x+1/2,-y,-z'
'-x+1/2,y,z'
'-y,-x,-z'
'y,x,z'
'-x,y+1/2,-z'
'x,-y+1/2,z'
'y+1/2,x+1/2,-z'
'-y+1/2,-x+1/2,z'
loop_
_atom_site_label
_atom_site_fract_x
_atom_site_fract_y
_atom_site_fract_z
Sr1 0.250 0.250 0.239
Al1 0.250 0.250 0.657
Cd1 0.250 0.250 0.927
Cd2 0.250 0.750 0.500

No. 3
# HgAs2Pb, relaxed, DFT PBE
# ΔE to the lowest computed polymorph ... 0.025 eV/atom
# Energy of formation ... 0.0760 eV per atom
data_HgAs2Pb
_cell_length_a 12.019
_cell_length_b 3.558
_cell_length_c 5.612
_cell_angle_alpha 90.00
_cell_angle_beta 104.52
_cell_angle_gamma 90.00
_space_group_name_H-M_alt 'C 1 m 1'
_space_group_IT_number 8
loop_
_space_group_symop_operation_xyz
'x,y,z'
'x,-y,z'
'x+1/2,y+1/2,z'
'x+1/2,-y+1/2,z'
loop_
_atom_site_label
_atom_site_fract_x
_atom_site_fract_y
_atom_site_fract_z
Hg1 0.000 0.000 0.000
As1 0.240 0.500 0.426
As2 0.388 0.000 0.466
Pb1 0.253 0.000 0.940

energy of formation of number 1 (Ni3BOs)? 0.3787 eV per atom